[1]
Below is crystalline MgAlFe2 at its relaxed geometry, with properties calculated at the PBE-GGA level. Values from VASP.

```
&SYSTEM
  ibrav = 0, nat = 4, ntyp = 3
/
ATOMIC_SPECIES
Mg 24.30 Mg.upf
Al 26.98 Al.upf
Fe 55.84 Fe.upf
CELL_PARAMETERS angstrom
2.688 0.000 0.000
0.000 2.688 0.000
0.000 0.000 7.622
ATOMIC_POSITIONS crystal
Mg 0.000 0.000 0.000
Al 0.000 0.000 0.500
Fe 0.500 0.500 0.271
Fe 0.500 0.500 0.729
```

## Properties
Size of the total moment, μB/atom: 1.036
Fermi-level density of states, states/eV/f.u.: 2.70
Formation energy, eV/atom: -0.008



[2]
Below is crystalline MgAl4Fe at its relaxed geometry, with properties calculated at the PBE-GGA level. Values from VASP.

```
&SYSTEM
  ibrav = 0, nat = 6, ntyp = 3
/
ATOMIC_SPECIES
Mg 24.30 Mg.upf
Al 26.98 Al.upf
Fe 55.84 Fe.upf
CELL_PARAMETERS angstrom
0.000 3.673 3.673
3.673 0.000 3.673
3.673 3.673 0.000
ATOMIC_POSITIONS crystal
Mg 0.000 0.000 0.000
Al 0.375 0.375 0.375
Al 0.375 0.375 0.875
Al 0.375 0.875 0.375
Al 0.875 0.375 0.375
Fe 0.750 0.750 0.750
```

## Properties
Size of the total moment, μB/atom: 0.324
Fermi-level density of states, states/eV/f.u.: 2.26
Formation energy, eV/atom: 0.150



[3]
Below is crystalline MgAlFe2 at its relaxed geometry, with properties calculated at the PBE-GGA level. Values from VASP.

```
&SYSTEM
  ibrav = 0, nat = 4, ntyp = 3
/
ATOMIC_SPECIES
Mg 24.30 Mg.upf
Al 26.98 Al.upf
Fe 55.84 Fe.upf
CELL_PARAMETERS angstrom
3.816 0.000 0.000
0.000 3.816 0.000
0.000 0.000 3.774
ATOMIC_POSITIONS crystal
Mg 0.000 0.000 0.000
Al 0.500 0.500 0.000
Fe 0.000 0.500 0.500
Fe 0.500 0.000 0.500
```

## Properties
Size of the total moment, μB/atom: 1.065
Fermi-level density of states, states/eV/f.u.: 2.85
Formation energy, eV/atom: 0.029



[4]
Below is crystalline MgAlFe2 at its relaxed geometry, with properties calculated at the PBE-GGA level. Values from VASP.

```
&SYSTEM
  ibrav = 0, nat = 4, ntyp = 3
/
ATOMIC_SPECIES
Mg 24.30 Mg.upf
Al 26.98 Al.upf
Fe 55.84 Fe.upf
CELL_PARAMETERS angstrom
2.991 0.000 0.000
0.000 2.991 0.000
0.000 0.000 6.455
ATOMIC_POSITIONS crystal
Mg 0.000 0.000 0.000
Al 0.500 0.500 0.325
Fe 0.000 0.000 0.544
Fe 0.500 0.500 0.731
```

## Properties
Size of the total moment, μB/atom: 1.061
Fermi-level density of states, states/eV/f.u.: 3.35
Formation energy, eV/atom: -0.024



[5]
Below is crystalline MgAl2Fe at its relaxed geometry, with properties calculated at the PBE-GGA level. Values from VASP.

```
&SYSTEM
  ibrav = 0, nat = 4, ntyp = 3
/
ATOMIC_SPECIES
Mg 24.30 Mg.upf
Al 26.98 Al.upf
Fe 55.84 Fe.upf
CELL_PARAMETERS angstrom
3.128 0.000 0.000
0.000 3.128 0.000
0.000 0.000 6.241
ATOMIC_POSITIONS crystal
Mg 0.000 0.000 0.000
Al 0.000 0.000 0.569
Al 0.500 0.500 0.311
Fe 0.500 0.500 0.728
```

## Properties
Size of the total moment, μB/atom: 0.000
Fermi-level density of states, states/eV/f.u.: 2.27
Formation energy, eV/atom: -0.018



[6]
Below is crystalline MgAlFe3 at its relaxed geometry, with properties calculated at the PBE-GGA level. Values from VASP.

```
&SYSTEM
  ibrav = 0, nat = 5, ntyp = 3
/
ATOMIC_SPECIES
Mg 24.30 Mg.upf
Al 26.98 Al.upf
Fe 55.84 Fe.upf
CELL_PARAMETERS angstrom
4.387 0.000 0.000
0.000 4.387 0.000
0.000 0.000 4.387
ATOMIC_POSITIONS crystal
Mg 0.000 0.000 0.000
Al 0.500 0.500 0.500
Fe 0.000 0.000 0.500
Fe 0.000 0.500 0.000
Fe 0.500 0.000 0.000
```

## Properties
Size of the total moment, μB/atom: 1.475
Fermi-level density of states, states/eV/f.u.: 13.73
Formation energy, eV/atom: 1.386
E above lowest polymorph, kJ/mol of atoms: 51.3



[7]
Below is crystalline MgAl6Fe2 at its relaxed geometry, with properties calculated at the PBE-GGA level. Values from VASP.

```
&SYSTEM
  ibrav = 0, nat = 18, ntyp = 3
/
ATOMIC_SPECIES
Mg 24.30 Mg.upf
Al 26.98 Al.upf
Fe 55.84 Fe.upf
CELL_PARAMETERS angstrom
-3.933 4.010 4.355
3.933 -4.010 4.355
3.933 4.010 -4.355
ATOMIC_POSITIONS crystal
Mg 0.000 0.000 0.000
Mg 0.500 0.500 0.000
Al 0.122 0.831 0.291
Al 0.209 0.302 0.512
Al 0.209 0.698 0.907
Al 0.247 0.031 0.784
Al 0.247 0.463 0.216
Al 0.460 0.169 0.291
Al 0.540 0.831 0.709
Al 0.753 0.537 0.784
Al 0.753 0.969 0.216
Al 0.791 0.302 0.093
Al 0.791 0.698 0.488
Al 0.878 0.169 0.709
Fe 0.133 0.633 0.500
Fe 0.500 0.167 0.667
Fe 0.500 0.833 0.333
Fe 0.867 0.367 0.500
```

## Properties
Size of the total moment, μB/atom: 0.118
Fermi-level density of states, states/eV/f.u.: 4.93
Formation energy, eV/atom: -0.154



[8]
Below is crystalline MgAl8Fe2 at its relaxed geometry, with properties calculated at the PBE-GGA level. Values from VASP.

```
&SYSTEM
  ibrav = 0, nat = 11, ntyp = 3
/
ATOMIC_SPECIES
Mg 24.30 Mg.upf
Al 26.98 Al.upf
Fe 55.84 Fe.upf
CELL_PARAMETERS angstrom
3.740 -5.439 0.000
3.740 5.439 0.000
-1.098 0.000 4.470
ATOMIC_POSITIONS crystal
Mg 0.000 0.000 0.000
Al 0.073 0.328 0.572
Al 0.275 0.725 0.000
Al 0.328 0.073 0.572
Al 0.395 0.395 0.227
Al 0.605 0.605 0.773
Al 0.672 0.927 0.428
Al 0.725 0.275 0.000
Al 0.927 0.672 0.428
Fe 0.303 0.697 0.500
Fe 0.697 0.303 0.500
```

## Properties
Size of the total moment, μB/atom: 0.000
Fermi-level density of states, states/eV/f.u.: 4.36
Formation energy, eV/atom: -0.087



[9]
Below is crystalline MgAlFe2 at its relaxed geometry, with properties calculated at the PBE-GGA level. Values from VASP.

```
&SYSTEM
  ibrav = 0, nat = 8, ntyp = 3
/
ATOMIC_SPECIES
Mg 24.30 Mg.upf
Al 26.98 Al.upf
Fe 55.84 Fe.upf
CELL_PARAMETERS angstrom
8.690 0.000 0.000
0.000 2.684 0.000
-0.750 0.000 4.814
ATOMIC_POSITIONS crystal
Mg 0.000 0.000 0.000
Mg 0.500 0.500 0.000
Al 0.000 0.500 0.500
Al 0.500 0.000 0.500
Fe 0.243 0.000 0.736
Fe 0.257 0.500 0.264
Fe 0.743 0.500 0.736
Fe 0.757 0.000 0.264
```

## Properties
Size of the total moment, μB/atom: 1.107
Fermi-level density of states, states/eV/f.u.: 2.75
Formation energy, eV/atom: 0.093



[10]
Below is crystalline MgAlFe2 at its relaxed geometry, with properties calculated at the PBE-GGA level. Values from VASP.

```
&SYSTEM
  ibrav = 0, nat = 4, ntyp = 3
/
ATOMIC_SPECIES
Mg 24.30 Mg.upf
Al 26.98 Al.upf
Fe 55.84 Fe.upf
CELL_PARAMETERS angstrom
2.668 0.000 0.000
0.000 4.224 0.000
-0.855 0.000 4.947
ATOMIC_POSITIONS crystal
Mg 0.000 0.000 0.000
Al 0.764 0.500 0.316
Fe 0.344 0.500 0.767
Fe 0.443 0.000 0.522
```

## Properties
Size of the total moment, μB/atom: 1.087
Fermi-level density of states, states/eV/f.u.: 2.10
Formation energy, eV/atom: 0.002



[11]
Below is crystalline MgAlFe2 at its relaxed geometry, with properties calculated at the PBE-GGA level. Values from VASP.

```
&SYSTEM
  ibrav = 0, nat = 16, ntyp = 3
/
ATOMIC_SPECIES
Mg 24.30 Mg.upf
Al 26.98 Al.upf
Fe 55.84 Fe.upf
CELL_PARAMETERS angstrom
6.765 0.000 0.000
0.000 6.765 0.000
0.000 0.000 5.285
ATOMIC_POSITIONS crystal
Mg 0.000 0.000 0.000
Mg 0.000 0.500 0.250
Mg 0.500 0.000 0.750
Mg 0.500 0.500 0.500
Al 0.000 0.000 0.500
Al 0.000 0.500 0.750
Al 0.500 0.000 0.250
Al 0.500 0.500 0.000
Fe 0.233 0.250 0.625
Fe 0.250 0.733 0.875
Fe 0.250 0.767 0.375
Fe 0.267 0.250 0.125
Fe 0.733 0.750 0.125
Fe 0.750 0.233 0.375
Fe 0.750 0.267 0.875
Fe 0.767 0.750 0.625
```

## Properties
Size of the total moment, μB/atom: 1.091
Fermi-level density of states, states/eV/f.u.: 2.41
Formation energy, eV/atom: 0.405



[12]
Below is crystalline MgAl10Fe3 at its relaxed geometry, with properties calculated at the PBE-GGA level. Values from VASP.

```
&SYSTEM
  ibrav = 0, nat = 28, ntyp = 3
/
ATOMIC_SPECIES
Mg 24.30 Mg.upf
Al 26.98 Al.upf
Fe 55.84 Fe.upf
CELL_PARAMETERS angstrom
0.000 6.174 6.174
6.174 0.000 6.174
6.174 6.174 0.000
ATOMIC_POSITIONS crystal
Mg 0.250 0.250 0.250
Mg 0.750 0.750 0.750
Al 0.000 0.000 0.322
Al 0.000 0.000 0.678
Al 0.000 0.322 0.000
Al 0.000 0.322 0.678
Al 0.000 0.678 0.000
Al 0.000 0.678 0.322
Al 0.172 0.609 0.609
Al 0.322 0.000 0.000
Al 0.322 0.000 0.678
Al 0.322 0.678 0.000
Al 0.391 0.391 0.391
Al 0.391 0.391 0.828
Al 0.391 0.828 0.391
Al 0.609 0.172 0.609
Al 0.609 0.609 0.172
Al 0.609 0.609 0.609
Al 0.678 0.000 0.000
Al 0.678 0.000 0.322
Al 0.678 0.322 0.000
Al 0.828 0.391 0.391
Fe 0.262 0.262 0.738
Fe 0.262 0.738 0.262
Fe 0.262 0.738 0.738
Fe 0.738 0.262 0.262
Fe 0.738 0.262 0.738
Fe 0.738 0.738 0.262
```

## Properties
Size of the total moment, μB/atom: 0.001
Fermi-level density of states, states/eV/f.u.: 6.99
Formation energy, eV/atom: -0.071



[13]
Below is crystalline MgAl2Fe at its relaxed geometry, with properties calculated at the PBE-GGA level. Values from VASP.

```
&SYSTEM
  ibrav = 0, nat = 16, ntyp = 3
/
ATOMIC_SPECIES
Mg 24.30 Mg.upf
Al 26.98 Al.upf
Fe 55.84 Fe.upf
CELL_PARAMETERS angstrom
3.947 0.000 0.000
0.000 3.947 0.000
0.000 0.000 18.219
ATOMIC_POSITIONS crystal
Mg 0.000 0.000 0.000
Mg 0.000 0.500 0.250
Mg 0.500 0.000 0.750
Mg 0.500 0.500 0.500
Al 0.218 0.250 0.625
Al 0.250 0.718 0.875
Al 0.250 0.782 0.375
Al 0.282 0.250 0.125
Al 0.718 0.750 0.125
Al 0.750 0.218 0.375
Al 0.750 0.282 0.875
Al 0.782 0.750 0.625
Fe 0.000 0.000 0.500
Fe 0.000 0.500 0.750
Fe 0.500 0.000 0.250
Fe 0.500 0.500 0.000
```

## Properties
Size of the total moment, μB/atom: 0.512
Fermi-level density of states, states/eV/f.u.: 2.88
Formation energy, eV/atom: 0.377



[14]
Below is crystalline MgAl2Fe at its relaxed geometry, with properties calculated at the PBE-GGA level. Values from VASP.

```
&SYSTEM
  ibrav = 0, nat = 12, ntyp = 3
/
ATOMIC_SPECIES
Mg 24.30 Mg.upf
Al 26.98 Al.upf
Fe 55.84 Fe.upf
CELL_PARAMETERS angstrom
2.869 0.000 0.000
-1.435 2.485 0.000
0.000 0.000 26.748
ATOMIC_POSITIONS crystal
Mg 0.000 0.000 0.000
Mg 0.333 0.667 0.667
Mg 0.667 0.333 0.333
Al 0.000 0.000 0.513
Al 0.000 0.000 0.760
Al 0.333 0.667 0.180
Al 0.333 0.667 0.427
Al 0.667 0.333 0.093
Al 0.667 0.333 0.846
Fe 0.000 0.000 0.252
Fe 0.333 0.667 0.919
Fe 0.667 0.333 0.585
```

## Properties
Size of the total moment, μB/atom: 0.545
Fermi-level density of states, states/eV/f.u.: 2.22
Formation energy, eV/atom: 0.060



[15]
Below is crystalline MgAl2Fe2 at its relaxed geometry, with properties calculated at the PBE-GGA level. Values from VASP.

```
&SYSTEM
  ibrav = 0, nat = 10, ntyp = 3
/
ATOMIC_SPECIES
Mg 24.30 Mg.upf
Al 26.98 Al.upf
Fe 55.84 Fe.upf
CELL_PARAMETERS angstrom
3.741 0.000 0.000
0.000 3.741 0.000
0.000 0.000 11.047
ATOMIC_POSITIONS crystal
Mg 0.000 0.000 0.000
Mg 0.500 0.500 0.500
Al 0.000 0.500 0.250
Al 0.000 0.500 0.750
Al 0.500 0.000 0.250
Al 0.500 0.000 0.750
Fe 0.000 0.000 0.401
Fe 0.000 0.000 0.599
Fe 0.500 0.500 0.099
Fe 0.500 0.500 0.901
```

## Properties
Size of the total moment, μB/atom: 0.635
Fermi-level density of states, states/eV/f.u.: 5.15
Formation energy, eV/atom: 0.109
E above lowest polymorph, kJ/mol of atoms: 21.8



[16]
Below is crystalline MgAlFe2 at its relaxed geometry, with properties calculated at the PBE-GGA level. Values from VASP.

```
&SYSTEM
  ibrav = 0, nat = 12, ntyp = 3
/
ATOMIC_SPECIES
Mg 24.30 Mg.upf
Al 26.98 Al.upf
Fe 55.84 Fe.upf
CELL_PARAMETERS angstrom
2.737 0.000 0.000
-1.369 2.371 0.000
0.000 0.000 25.950
ATOMIC_POSITIONS crystal
Mg 0.000 0.000 0.000
Mg 0.333 0.667 0.667
Mg 0.667 0.333 0.333
Al 0.000 0.000 0.500
Al 0.333 0.667 0.167
Al 0.667 0.333 0.833
Fe 0.000 0.000 0.246
Fe 0.000 0.000 0.754
Fe 0.333 0.667 0.421
Fe 0.333 0.667 0.912
Fe 0.667 0.333 0.088
Fe 0.667 0.333 0.579
```

## Properties
Size of the total moment, μB/atom: 1.095
Fermi-level density of states, states/eV/f.u.: 2.41
Formation energy, eV/atom: 0.097



[17]
Below is crystalline MgAl2Fe at its relaxed geometry, with properties calculated at the PBE-GGA level. Values from VASP.

```
&SYSTEM
  ibrav = 0, nat = 4, ntyp = 3
/
ATOMIC_SPECIES
Mg 24.30 Mg.upf
Al 26.98 Al.upf
Fe 55.84 Fe.upf
CELL_PARAMETERS angstrom
2.778 0.000 0.000
0.000 2.778 0.000
0.000 0.000 8.130
ATOMIC_POSITIONS crystal
Mg 0.000 0.000 0.000
Al 0.000 0.000 0.554
Al 0.500 0.500 0.294
Fe 0.500 0.500 0.758
```

## Properties
Size of the total moment, μB/atom: 0.499
Fermi-level density of states, states/eV/f.u.: 2.73
Formation energy, eV/atom: 0.018



[18]
Below is crystalline Mg3AlFe at its relaxed geometry, with properties calculated at the PBE-GGA level. Values from VASP.

```
&SYSTEM
  ibrav = 0, nat = 5, ntyp = 3
/
ATOMIC_SPECIES
Mg 24.30 Mg.upf
Al 26.98 Al.upf
Fe 55.84 Fe.upf
CELL_PARAMETERS angstrom
5.078 0.000 0.000
0.000 5.078 0.000
0.000 0.000 5.078
ATOMIC_POSITIONS crystal
Mg 0.000 0.000 0.500
Mg 0.000 0.500 0.000
Mg 0.500 0.000 0.000
Al 0.000 0.000 0.000
Fe 0.500 0.500 0.500
```

## Properties
Size of the total moment, μB/atom: 0.643
Fermi-level density of states, states/eV/f.u.: 4.10
Formation energy, eV/atom: 0.910
E above lowest polymorph, kJ/mol of atoms: 23.7



[19]
Below is crystalline MgAlFe2Mo at its relaxed geometry, with properties calculated at the PBE-GGA level. Values from VASP.

```
&SYSTEM
  ibrav = 0, nat = 5, ntyp = 4
/
ATOMIC_SPECIES
Mg 24.30 Mg.upf
Al 26.98 Al.upf
Fe 55.84 Fe.upf
Mo 95.94 Mo.upf
CELL_PARAMETERS angstrom
4.425 0.000 0.000
0.000 4.425 0.000
0.000 0.000 4.825
ATOMIC_POSITIONS crystal
Mg 0.000 0.000 0.000
Al 0.500 0.500 0.000
Fe 0.000 0.500 0.500
Fe 0.500 0.000 0.500
Mo 0.500 0.500 0.500
```

## Properties
Size of the total moment, μB/atom: 0.000
Fermi-level density of states, states/eV/f.u.: 6.90
Formation energy, eV/atom: 1.118